# 1
First-principles (PBE) data for crystalline Nb2Co2Re at its relaxed geometry, as listed in Alexandria via LeMat-Bulk.

Its crystal system is tetragonal.

```
data_Nb2Co2Re
_cell_length_a 6.5347
_cell_length_b 6.5347
_cell_length_c 3.4005
_cell_angle_alpha 90.00
_cell_angle_beta 90.00
_cell_angle_gamma 90.00
_symmetry_space_group_name_H-M 'P 4/m b m'
_symmetry_Int_Tables_number 127
_symmetry_space_group_name_Hall '-P 4 2ab'
loop_
_atom_site_label
_atom_site_type_symbol
_atom_site_fract_x
_atom_site_fract_y
_atom_site_fract_z
Nb1 Nb 0.1758 0.3242 0.0000
Co1 Co 0.1245 0.6245 0.5000
Re1 Re 0.0000 0.0000 0.5000
```

# 2
First-principles (PBE) data for crystalline NbCoRe3 at its relaxed geometry, as listed in Alexandria via LeMat-Bulk.

Its crystal system is cubic. As for the relative energy among the computed polymorphs: 1386.5 meV per atom.

```
data_NbCoRe3
_cell_length_a 4.6864
_cell_length_b 4.6864
_cell_length_c 4.6864
_cell_angle_alpha 90.00
_cell_angle_beta 90.00
_cell_angle_gamma 90.00
_symmetry_space_group_name_H-M 'P m -3 m'
_symmetry_Int_Tables_number 221
_symmetry_space_group_name_Hall '-P 4 2 3'
loop_
_atom_site_label
_atom_site_type_symbol
_atom_site_fract_x
_atom_site_fract_y
_atom_site_fract_z
Nb1 Nb 0.0000 0.0000 0.0000
Co1 Co 0.5000 0.5000 0.5000
Re1 Re 0.0000 0.0000 0.5000
```

# 3
First-principles (PBE) data for crystalline NbCo6Re at its relaxed geometry, as listed in Alexandria via LeMat-Bulk.

Its crystal system is orthorhombic.

```
data_NbCo6Re
_cell_length_a 7.2281
_cell_length_b 10.2044
_cell_length_c 10.2144
_cell_angle_alpha 90.00
_cell_angle_beta 90.00
_cell_angle_gamma 90.00
_symmetry_space_group_name_H-M 'C m m m'
_symmetry_Int_Tables_number 65
_symmetry_space_group_name_Hall '-C 2 2'
loop_
_atom_site_label
_atom_site_type_symbol
_atom_site_fract_x
_atom_site_fract_y
_atom_site_fract_z
Nb1 Nb 0.0000 0.0000 0.2482
Nb2 Nb 0.0000 0.2474 0.0000
Co1 Co 0.0000 0.0000 0.0000
Co2 Co 0.0000 0.0000 0.5000
Co3 Co 0.0000 0.2537 0.2563
Co4 Co 0.0000 0.5000 0.0000
Co5 Co 0.0000 0.5000 0.5000
Co6 Co 0.2439 0.3766 0.1288
Co7 Co 0.2446 0.3729 0.3786
Re1 Re 0.0000 0.2458 0.5000
Re2 Re 0.0000 0.5000 0.2474
```

# 4
First-principles (PBE) data for crystalline NbCoRe2 at its relaxed geometry, as listed in Alexandria via LeMat-Bulk.

Its crystal system is cubic. As for the relative energy among the computed polymorphs: 0.0 meV per atom.

```
data_NbCoRe2
_cell_length_a 6.2036
_cell_length_b 6.2036
_cell_length_c 6.2036
_cell_angle_alpha 90.00
_cell_angle_beta 90.00
_cell_angle_gamma 90.00
_symmetry_space_group_name_H-M 'F m -3 m'
_symmetry_Int_Tables_number 225
_symmetry_space_group_name_Hall '-F 4 2 3'
loop_
_atom_site_label
_atom_site_type_symbol
_atom_site_fract_x
_atom_site_fract_y
_atom_site_fract_z
Nb1 Nb 0.0000 0.0000 0.0000
Co1 Co 0.0000 0.0000 0.5000
Re1 Re 0.2500 0.2500 0.2500
```

# 5
First-principles (PBE) data for crystalline NbCoRe2 at its relaxed geometry, as listed in Alexandria via LeMat-Bulk.

Its crystal system is tetragonal. As for the relative energy among the computed polymorphs: 440.8 meV per atom.

```
data_NbCoRe2
_cell_length_a 3.6288
_cell_length_b 3.6288
_cell_length_c 19.3856
_cell_angle_alpha 90.00
_cell_angle_beta 90.00
_cell_angle_gamma 90.00
_symmetry_space_group_name_H-M 'I -4 2 d'
_symmetry_Int_Tables_number 122
_symmetry_space_group_name_Hall 'I -4 2bw'
loop_
_atom_site_label
_atom_site_type_symbol
_atom_site_fract_x
_atom_site_fract_y
_atom_site_fract_z
Nb1 Nb 0.0000 0.0000 0.0000
Co1 Co 0.0000 0.0000 0.5000
Re1 Re 0.2302 0.2500 0.6250
```

# 6
First-principles (PBE) data for crystalline NbCo2Re4 at its relaxed geometry, as listed in Alexandria via LeMat-Bulk.

Its crystal system is tetragonal.

```
data_NbCo2Re4
_cell_length_a 4.6579
_cell_length_b 4.6579
_cell_length_c 11.8413
_cell_angle_alpha 90.00
_cell_angle_beta 90.00
_cell_angle_gamma 90.00
_symmetry_space_group_name_H-M 'I 4/m m m'
_symmetry_Int_Tables_number 139
_symmetry_space_group_name_Hall '-I 4 2'
loop_
_atom_site_label
_atom_site_type_symbol
_atom_site_fract_x
_atom_site_fract_y
_atom_site_fract_z
Nb1 Nb 0.0000 0.0000 0.0000
Co1 Co 0.0000 0.0000 0.3993
Re1 Re 0.0000 0.0000 0.2123
Re2 Re 0.0000 0.5000 0.0000
```

# 7
First-principles (PBE) data for crystalline NbCo4Re at its relaxed geometry, as listed in Alexandria via LeMat-Bulk.

Its crystal system is cubic.

```
data_NbCo4Re
_cell_length_a 6.6654
_cell_length_b 6.6654
_cell_length_c 6.6654
_cell_angle_alpha 90.00
_cell_angle_beta 90.00
_cell_angle_gamma 90.00
_symmetry_space_group_name_H-M 'F -4 3 m'
_symmetry_Int_Tables_number 216
_symmetry_space_group_name_Hall 'F -4 2 3'
loop_
_atom_site_label
_atom_site_type_symbol
_atom_site_fract_x
_atom_site_fract_y
_atom_site_fract_z
Nb1 Nb 0.0000 0.0000 0.0000
Co1 Co 0.1243 0.1243 0.6243
Re1 Re 0.2500 0.2500 0.2500
```

# 8
First-principles (PBE) data for crystalline Nb2Co3Re at its relaxed geometry, as listed in Alexandria via LeMat-Bulk.

Its crystal system is trigonal.

```
data_Nb2Co3Re
_cell_length_a 4.8853
_cell_length_b 4.8853
_cell_length_c 11.9871
_cell_angle_alpha 90.00
_cell_angle_beta 90.00
_cell_angle_gamma 120.00
_symmetry_space_group_name_H-M 'R -3 m'
_symmetry_Int_Tables_number 166
_symmetry_space_group_name_Hall '-R 3 2"'
loop_
_atom_site_label
_atom_site_type_symbol
_atom_site_fract_x
_atom_site_fract_y
_atom_site_fract_z
Nb1 Nb 0.0000 0.0000 0.1249
Co1 Co 0.0000 0.5000 0.0000
Re1 Re 0.0000 0.0000 0.5000
```

| no. | formation energy (eV/atom) | volume (Å³ per cell) |
| --- | --- | --- |
| 1 | -0.044 | 145 |
| 2 | 2.718 | 103 |
| 3 | -0.059 | 753 |
| 4 | 0.207 | 239 |
| 5 | 0.648 | 255 |
| 6 | 2.070 | 257 |
| 7 | -0.054 | 296 |
| 8 | -0.145 | 248 |